A plane-wave DFT calculation with PBE-GGA was carried out for a relaxed structure of LiMn2As.

Unit cell a=5.538 b=5.538 c=5.538 alpha=102.58 beta=102.58 gamma=124.36
Positions (direct):
Li 0.000 0.000 0.000
Li 0.750 0.250 0.500
Mn 0.149 0.625 0.024
Mn 0.375 0.399 0.524
Mn 0.601 0.125 0.976
Mn 0.875 0.851 0.476
As 0.250 0.750 0.500
As 0.500 0.500 0.000

Results
Its energy of formation is 302.6 meV per atom. Its space group is I-42d.